Record 1
DFT (GGA-PBE) results for an optimized crystal structure of Cd4InHg3.

Cell lengths 11.498, 11.498, 5.150 Å; angles 102.60, 102.60, 17.29 degrees
Fractional coordinates of all 8 atoms:
Cd 0.127 0.127 0.363
Cd 0.372 0.372 0.133
Cd 0.628 0.628 0.867
Cd 0.873 0.873 0.637
In 0.500 0.500 0.500
Hg 0.000 0.000 0.000
Hg 0.250 0.250 0.749
Hg 0.750 0.750 0.251

Values from the calculation:
V, Å³/atom: 24.67
Calculated total energy, hartree per atom: -0.03271
Polymorph energy (0 for the lowest one), kJ/mol of atoms: 0.0


Record 2
DFT (GGA-PBE) results for an optimized crystal structure of CdIn2Hg.

Cell lengths 5.736, 5.736, 5.736 Å; angles 131.97, 131.97, 70.28 degrees
Fractional coordinates of all 4 atoms:
Cd 0.000 0.000 0.000
In 0.500 0.500 0.000
In 0.750 0.250 0.500
Hg 0.250 0.750 0.500

Values from the calculation:
V, Å³/atom: 25.57
Calculated total energy, hartree per atom: -0.06045
Polymorph energy (0 for the lowest one), kJ/mol of atoms: 2.2


Record 3
DFT (GGA-PBE) results for an optimized crystal structure of Cd6In12Hg.

Cell lengths 7.986, 7.986, 7.986 Å; angles 92.57, 92.57, 92.57 degrees
Fractional coordinates of all 19 atoms:
Cd 0.237 0.761 0.620
Cd 0.239 0.380 0.763
Cd 0.380 0.763 0.239
Cd 0.620 0.237 0.761
Cd 0.761 0.620 0.237
Cd 0.763 0.239 0.380
In 0.013 0.942 0.305
In 0.058 0.695 0.987
In 0.119 0.447 0.352
In 0.305 0.013 0.942
In 0.352 0.119 0.447
In 0.447 0.352 0.119
In 0.553 0.648 0.881
In 0.648 0.881 0.553
In 0.695 0.987 0.058
In 0.881 0.553 0.648
In 0.942 0.305 0.013
In 0.987 0.058 0.695
Hg 0.500 0.500 0.500

Values from the calculation:
V, Å³/atom: 26.72
Calculated total energy, hartree per atom: -0.07251
Polymorph energy (0 for the lowest one), kJ/mol of atoms: 0.5


What did we get for calculated formation energy? Answer: 23; 29; 61 meV per atom, in the order shown.